No. 1
DFT (meta-GGA SCAN) results for BeNi2Pt at its PBEsol-relaxed geometry.

Values from the calculation:
The calculation puts the energy at -108.31 eV per cell. As for the symmetry: Immm. For the total magnetization, the calculation gives 1.34 μB per formula unit. Its energy of formation is -0.355 eV/atom.

Unit cell a=2.695 b=3.943 c=4.700 alpha=114.80 beta=106.66 gamma=90.00
Last column: magnetic moment on the atom in μB.
Positions (direct):
Be: 0.000 0.500 0.000  -0.01
Ni: 0.277 0.277 0.555  0.67
Ni: 0.723 0.723 0.445  0.67
Pt: 0.500 0.000 0.000  0.13



No. 2
DFT (meta-GGA SCAN) results for Na2As2Pb at its PBEsol-relaxed geometry.

Values from the calculation:
The calculation puts the energy at -252.55 eV per cell. As for the symmetry: P4/mbm. For the total magnetization, the calculation gives 0.00 μB per formula unit. Its energy of formation is -0.337 eV/atom.

Unit cell a=4.533 b=7.411 c=7.411 alpha=90.00 beta=90.00 gamma=90.00
Positions (direct):
Na: 0.500 0.825 0.325
Na: 0.500 0.675 0.825
Na: 0.500 0.325 0.175
Na: 0.500 0.175 0.675
Pb: 0.000 0.500 0.500
Pb: 0.000 0.000 0.000
As: 0.000 0.116 0.384
As: 0.000 0.384 0.884
As: 0.000 0.884 0.616
As: 0.000 0.616 0.116



No. 3
DFT (meta-GGA SCAN) results for MnPt2Au at its PBEsol-relaxed geometry.

Values from the calculation:
The calculation puts the energy at -229.54 eV per cell. As for the symmetry: I4/mmm. For the total magnetization, the calculation gives 4.32 μB per formula unit. Its energy of formation is -0.436 eV/atom.

Unit cell a=3.922 b=3.922 c=4.789 alpha=114.17 beta=114.17 gamma=90.00
Last column: magnetic moment on the atom in μB.
Positions (direct):
Mn: 0.000 0.000 0.000  4.04
Pt: 0.750 0.250 0.500  0.10
Pt: 0.250 0.750 0.500  0.10
Au: 0.500 0.500 0.000  0.02



No. 4
DFT (meta-GGA SCAN) results for CrSiSe at its PBEsol-relaxed geometry.

Values from the calculation:
The value obtained for the formation energy (no corrections) is 0.512 eV/atom. The calculation puts the energy at -46.94 eV per cell. As for the symmetry: F-43m. For the total magnetization, the calculation gives 3.72 μB per formula unit.

Unit cell a=4.252 b=4.252 c=4.252 alpha=60.00 beta=60.00 gamma=60.00
Last column: magnetic moment on the atom in μB.
Positions (direct):
Se: 0.500 0.500 0.500  -0.03
Si: 0.250 0.250 0.250  -0.13
Cr: 0.000 0.000 0.000  3.63



No. 5
DFT (meta-GGA SCAN) results for YSi2Ir at its PBEsol-relaxed geometry.

Values from the calculation:
The value obtained for the formation energy (no corrections) is -0.468 eV/atom. The calculation puts the energy at -120.84 eV per cell. As for the symmetry: Pmmm. For the total magnetization, the calculation gives 0.00 μB per formula unit.

Unit cell a=2.955 b=3.248 c=6.773 alpha=90.00 beta=90.00 gamma=90.00
Positions (direct):
Si: 0.000 0.000 0.299
Si: 0.000 0.000 0.701
Y: 0.500 0.500 0.000
Ir: 0.500 0.500 0.500



No. 6
DFT (meta-GGA SCAN) results for CaRhIN2 at its PBEsol-relaxed geometry.

Values from the calculation:
The value obtained for the formation energy (no corrections) is 0.555 eV/atom. The calculation puts the energy at -95.98 eV per cell. As for the symmetry: P4/mmm. For the total magnetization, the calculation gives 0.00 μB per formula unit.

Unit cell a=4.019 b=4.019 c=5.405 alpha=90.00 beta=90.00 gamma=90.00
Positions (direct):
N: 0.000 0.500 0.000
N: 0.500 0.000 0.000
Rh: 0.000 0.000 0.000
Ca: 0.500 0.500 0.500
I: 0.000 0.000 0.500